# 1
The following is a PBE calculation of a relaxed CrFe2Ni6 crystal, from the Alexandria database.

The structure in POSCAR format:
```
CrFe2Ni6
1.0
-1.2226 3.6749 5.6308
1.2226 -3.6749 5.6308
1.2226 3.6749 -5.6308
Cr Fe Ni
1 2 6
direct
0.0000 0.0000 0.0000 Cr
0.3411 0.8411 0.5000 Fe
0.6589 0.1589 0.5000 Fe
0.0072 0.1735 0.8337 Ni
0.3171 0.5000 0.8171 Ni
0.3398 0.1735 0.1663 Ni
0.6602 0.8265 0.8337 Ni
0.6829 0.5000 0.1829 Ni
0.9928 0.8265 0.1663 Ni
```

## Properties
* E_form: 0.05 eV/atom
* N(E_F): 0.73 states/eV/atom

# 2
The following is a PBE calculation of a relaxed PmNdGdZn crystal, from the Alexandria database.

The structure in POSCAR format:
```
PmNdGdZn
1.0
0.0000 3.8543 3.8543
3.8543 0.0000 3.8543
3.8543 3.8543 0.0000
Pm Nd Gd Zn
1 1 1 1
direct
0.0000 0.0000 0.0000 Pm
0.7500 0.7500 0.7500 Nd
0.2500 0.2500 0.2500 Gd
0.5000 0.5000 0.5000 Zn
```

## Properties
* E_form: 0.06 eV/atom
* N(E_F): 1.40 states/eV/atom

# 3
The following is a PBE calculation of a relaxed LiAcCu10 crystal, from the Alexandria database.

The structure in POSCAR format:
```
LiAcCu10
1.0
4.1384 0.0000 0.0000
0.0000 5.0213 0.0000
0.0000 0.0000 8.7482
Li Ac Cu
1 1 10
direct
0.0000 0.0000 0.0000 Li
0.0000 0.5000 0.5000 Ac
0.0000 0.0000 0.2976 Cu
0.0000 0.0000 0.7024 Cu
0.0000 0.5000 0.1508 Cu
0.0000 0.5000 0.8492 Cu
0.5000 0.0000 0.5000 Cu
0.5000 0.2490 0.2426 Cu
0.5000 0.2490 0.7574 Cu
0.5000 0.5000 0.0000 Cu
0.5000 0.7510 0.2426 Cu
0.5000 0.7510 0.7574 Cu
```

## Properties
* E_form: -0.05 eV/atom
* N(E_F): 0.43 states/eV/atom

# 4
The following is a PBE calculation of a relaxed LiMg2Zr crystal, from the Alexandria database.

The structure in POSCAR format:
```
LiMg2Zr
1.0
1.6044 -2.5437 0.0000
1.6044 2.5437 0.0000
0.0000 0.0000 10.6575
Li Mg Zr
1 2 1
direct
0.0000 0.0000 0.0000 Li
0.0000 0.0000 0.5085 Mg
0.5000 0.5000 0.7602 Mg
0.5000 0.5000 0.2554 Zr
```

## Properties
* E_form: 0.07 eV/atom
* N(E_F): 0.56 states/eV/atom

# 5
The following is a PBE calculation of a relaxed TcAs2Br crystal, from the Alexandria database.

The structure in POSCAR format:
```
TcAs2Br
1.0
2.6126 -4.2983 0.0000
2.6126 4.2983 0.0000
0.0000 0.0000 3.2743
Tc As Br
1 2 1
direct
0.0000 0.0000 0.0000 Tc
0.0000 0.5000 0.5000 As
0.5000 0.0000 0.5000 As
0.5000 0.5000 0.0000 Br
```

## Properties
* uncorrected energy: -4.603 eV/atom
* N(E_F): 0.69 states/eV/atom

# 6
The following is a PBE calculation of a relaxed Tb2ZnIn2 crystal, from the Alexandria database.

The structure in POSCAR format:
```
Tb2ZnIn2
1.0
5.5581 -2.3283 0.0000
5.5581 2.3283 0.0000
-4.8295 0.0000 9.7486
Tb Zn In
4 2 4
direct
0.0207 0.0207 0.3360 Tb
0.1784 0.1784 0.0957 Tb
0.8216 0.8216 0.9043 Tb
0.9793 0.9793 0.6640 Tb
0.2768 0.2768 0.6647 Zn
0.7232 0.7232 0.3353 Zn
0.3532 0.3532 0.4307 In
0.4731 0.4731 0.1220 In
0.5269 0.5269 0.8780 In
0.6468 0.6468 0.5693 In
```

## Properties
* E_form: -0.43 eV/atom
* N(E_F): 0.69 states/eV/atom

# 7
The following is a PBE calculation of a relaxed Al2Bi7RuBr2Cl8 crystal, from the Alexandria database.

The structure in POSCAR format:
```
Al2Bi7RuBr2Cl8
1.0
12.2766 0.0000 0.0000
0.0000 15.1746 0.0000
-9.9327 0.0000 15.3032
Al Bi Ru Br Cl
8 28 4 8 32
direct
0.0458 0.2008 0.1029 Al
0.0458 0.2992 0.6029 Al
0.3047 0.5010 0.3085 Al
0.3047 0.9990 0.8085 Al
0.6953 0.0010 0.1915 Al
0.6953 0.4990 0.6915 Al
0.9542 0.7008 0.3971 Al
0.9542 0.7992 0.8971 Al
0.1306 0.5442 0.7990 Bi
0.1306 0.9558 0.2990 Bi
0.1632 0.7061 0.7035 Bi
0.1632 0.7939 0.2035 Bi
0.2759 0.7105 0.9081 Bi
0.2759 0.7895 0.4081 Bi
0.3273 0.5278 0.7432 Bi
0.3273 0.9722 0.2432 Bi
0.3454 0.5079 0.0445 Bi
0.3454 0.9921 0.5445 Bi
0.3962 0.1347 0.4185 Bi
0.3962 0.3653 0.9185 Bi
0.4625 0.7004 0.8439 Bi
0.4625 0.7996 0.3439 Bi
0.5375 0.2004 0.6561 Bi
0.5375 0.2996 0.1561 Bi
0.6038 0.6347 0.0815 Bi
0.6038 0.8653 0.5815 Bi
0.6546 0.0079 0.4555 Bi
0.6546 0.4921 0.9555 Bi
0.6727 0.0278 0.7568 Bi
0.6727 0.4722 0.2568 Bi
0.7241 0.2105 0.5919 Bi
0.7241 0.2895 0.0919 Bi
0.8368 0.2061 0.7965 Bi
0.8368 0.2939 0.2965 Bi
0.8694 0.0442 0.7010 Bi
0.8694 0.4558 0.2010 Bi
0.4135 0.5508 0.9230 Ru
0.4135 0.9492 0.4230 Ru
0.5865 0.0508 0.5770 Ru
0.5865 0.4492 0.0770 Ru
0.2084 0.1609 0.4679 Br
0.2084 0.3391 0.9679 Br
0.4177 0.6808 0.1348 Br
0.4177 0.8192 0.6348 Br
0.5823 0.1808 0.3652 Br
0.5823 0.3192 0.8652 Br
0.7916 0.6609 0.0321 Br
0.7916 0.8391 0.5321 Br
0.0072 0.6620 0.9248 Cl
0.0072 0.8380 0.4248 Cl
0.0290 0.1617 0.2112 Cl
0.0290 0.3383 0.7112 Cl
0.0905 0.6231 0.5100 Cl
0.0905 0.8769 0.0100 Cl
0.1614 0.5768 0.1951 Cl
0.1614 0.9232 0.6951 Cl
0.2097 0.0822 0.8523 Cl
0.2097 0.4178 0.3523 Cl
0.2416 0.1746 0.1403 Cl
0.2416 0.3254 0.6403 Cl
0.4107 0.0798 0.7694 Cl
0.4107 0.4202 0.2694 Cl
0.4390 0.5901 0.4109 Cl
0.4390 0.9099 0.9109 Cl
0.5610 0.0901 0.0891 Cl
0.5610 0.4099 0.5891 Cl
0.5893 0.5798 0.7306 Cl
0.5893 0.9202 0.2306 Cl
0.7584 0.6746 0.3597 Cl
0.7584 0.8254 0.8597 Cl
0.7903 0.5822 0.6477 Cl
0.7903 0.9178 0.1477 Cl
0.8386 0.0768 0.3049 Cl
0.8386 0.4232 0.8049 Cl
0.9095 0.1231 0.9900 Cl
0.9095 0.3769 0.4900 Cl
0.9710 0.6617 0.2888 Cl
0.9710 0.8383 0.7888 Cl
0.9928 0.1620 0.5752 Cl
0.9928 0.3380 0.0752 Cl
```

## Properties
* uncorrected energy: -3.969 eV/atom

# 8
The following is a PBE calculation of a relaxed GaTcSnO6 crystal, from the Alexandria database.

The structure in POSCAR format:
```
GaTcSnO6
1.0
5.1095 0.0000 0.0000
-2.5548 4.4250 0.0000
0.0000 0.0000 9.0048
Ga Tc Sn O
2 2 2 12
direct
0.3333 0.6667 0.2500 Ga
0.6667 0.3333 0.7500 Ga
0.3333 0.6667 0.7500 Tc
0.6667 0.3333 0.2500 Tc
0.0000 0.0000 0.0000 Sn
0.0000 0.0000 0.5000 Sn
0.0035 0.3473 0.6310 O
0.0035 0.6562 0.8690 O
0.3438 0.3473 0.8690 O
0.3438 0.9965 0.6310 O
0.3473 0.0035 0.1310 O
0.3473 0.3438 0.3690 O
0.6527 0.6562 0.6310 O
0.6527 0.9965 0.8690 O
0.6562 0.0035 0.3690 O
0.6562 0.6527 0.1310 O
0.9965 0.3438 0.1310 O
0.9965 0.6527 0.3690 O
```

## Properties
* uncorrected energy: -6.707 eV/atom
* N(E_F): 0.39 states/eV/atom

# 9
The following is a PBE calculation of a relaxed BaThGa2Br8 crystal, from the Alexandria database.

The structure in POSCAR format:
```
BaThGa2Br8
1.0
7.1734 0.0000 0.0000
0.0000 9.4361 0.0000
-0.2252 0.0000 7.3946
Ba Th Ga Br
1 1 2 8
direct
0.0000 0.0000 0.0000 Ba
0.0000 0.5000 0.0000 Th
0.5000 0.2324 0.5000 Ga
0.5000 0.7676 0.5000 Ga
0.2252 0.2778 0.8497 Br
0.2252 0.7222 0.8497 Br
0.2325 0.5000 0.3119 Br
0.2797 0.0000 0.3468 Br
0.7203 0.0000 0.6532 Br
0.7675 0.5000 0.6881 Br
0.7748 0.2778 0.1503 Br
0.7748 0.7222 0.1503 Br
```

## Properties
* uncorrected energy: -3.826 eV/atom
* N(E_F): 0.00 states/eV/atom

# 10
The following is a PBE calculation of a relaxed Ca3GaGe2 crystal, from the Alexandria database.

The structure in POSCAR format:
```
Ca3GaGe2
1.0
11.9238 0.0000 0.0000
0.0000 4.2473 0.0000
0.0000 0.0000 12.3197
Ca Ga Ge
12 4 8
direct
0.0664 0.2500 0.1158 Ca
0.1242 0.7500 0.5542 Ca
0.1953 0.2500 0.8014 Ca
0.3047 0.7500 0.3014 Ca
0.3757 0.2500 0.0542 Ca
0.4336 0.7500 0.6158 Ca
0.5664 0.2500 0.3842 Ca
0.6242 0.7500 0.9458 Ca
0.6953 0.2500 0.6986 Ca
0.8047 0.7500 0.1986 Ca
0.8758 0.2500 0.4458 Ca
0.9336 0.7500 0.8842 Ca
0.1412 0.2500 0.3521 Ga
0.3588 0.7500 0.8521 Ga
0.6412 0.2500 0.1479 Ga
0.8588 0.7500 0.6479 Ga
0.0252 0.7500 0.3175 Ge
0.1947 0.7500 0.9892 Ge
0.3053 0.2500 0.4892 Ge
0.4748 0.2500 0.8175 Ge
0.5252 0.7500 0.1825 Ge
0.6947 0.7500 0.5108 Ge
0.8053 0.2500 0.0108 Ge
0.9748 0.2500 0.6825 Ge
```

## Properties
* E_form: -0.57 eV/atom
* N(E_F): 0.50 states/eV/atom

# 11
The following is a PBE calculation of a relaxed YMgCl2 crystal, from the Alexandria database.

The structure in POSCAR format:
```
YMgCl2
1.0
-3.0890 3.0890 5.9690
3.0890 -3.0890 5.9690
3.0890 3.0890 -5.9690
Y Mg Cl
2 2 4
direct
0.0000 0.0000 0.0000 Y
0.7500 0.2500 0.5000 Y
0.2500 0.7500 0.5000 Mg
0.5000 0.5000 0.0000 Mg
0.1626 0.6250 0.0376 Cl
0.3750 0.4126 0.5376 Cl
0.5874 0.1250 0.9624 Cl
0.8750 0.8374 0.4624 Cl
```

## Properties
* uncorrected energy: -3.643 eV/atom
* N(E_F): 0.73 states/eV/atom

# 12
The following is a PBE calculation of a relaxed TlNiSe2 crystal, from the Alexandria database.

The structure in POSCAR format:
```
TlNiSe2
1.0
1.8354 -3.8762 0.0000
1.8354 3.8762 0.0000
0.0000 0.0000 7.7598
Tl Ni Se
1 1 2
direct
0.0000 0.0000 0.0000 Tl
0.0000 0.0000 0.5000 Ni
0.5000 0.5000 0.3167 Se
0.5000 0.5000 0.6833 Se
```

## Properties
* uncorrected energy: -3.820 eV/atom
* N(E_F): 1.02 states/eV/atom

# 13
The following is a PBE calculation of a relaxed PaZnTcSb crystal, from the Alexandria database.

The structure in POSCAR format:
```
PaZnTcSb
1.0
0.0000 3.4063 3.4063
3.4063 0.0000 3.4063
3.4063 3.4063 0.0000
Pa Zn Tc Sb
1 1 1 1
direct
0.0000 0.0000 0.0000 Pa
0.2500 0.2500 0.2500 Zn
0.7500 0.7500 0.7500 Tc
0.5000 0.5000 0.5000 Sb
```

## Properties
* uncorrected energy: -6.341 eV/atom
* N(E_F): 1.48 states/eV/atom

# 14
The following is a PBE calculation of a relaxed BaTeP2 crystal, from the Alexandria database.

The structure in POSCAR format:
```
BaTeP2
1.0
2.5139 -3.3629 0.0000
2.5139 3.3629 0.0000
0.0000 0.0000 6.5636
Ba Te P
1 1 2
direct
0.0000 0.0000 0.0000 Ba
0.5000 0.5000 0.3309 Te
0.0000 0.0000 0.5391 P
0.5000 0.5000 0.7106 P
```

## Properties
* uncorrected energy: -3.990 eV/atom
* N(E_F): 0.48 states/eV/atom